A plane-wave DFT calculation with PBE-GGA was carried out for TbPm3Ho3 after structural relaxation.

Unit cell a=6.2086 b=6.2086 c=14.8122 alpha=77.90 beta=77.90 gamma=60.00
Closest atoms and distances in Å follow each position.
Fractional positions:
Ho1 0.7316 0.3987 0.8048  2 Tb 3.48-3.49, 3 Pm 3.52-3.53, 6 Ho 3.58-3.59
Ho2 0.0648 0.7316 0.8048  2 Tb 3.48-3.49, 3 Pm 3.52-3.53, 6 Ho 3.58-3.59
Ho3 0.6013 0.9352 0.1952  2 Tb 3.48-3.49, 3 Pm 3.52-3.53, 6 Ho 3.58-3.59
Ho4 0.3987 0.0648 0.8048  2 Tb 3.48-3.49, 3 Pm 3.52-3.53, 6 Ho 3.58-3.59
Ho5 0.9352 0.2684 0.1952  2 Tb 3.48-3.49, 3 Pm 3.52-3.53, 6 Ho 3.58-3.59
Ho6 0.2684 0.6013 0.1952  2 Tb 3.48-3.49, 3 Pm 3.52-3.53, 6 Ho 3.58-3.59
Pm1 0.1998 0.8686 0.3938  3 Ho 3.52-3.53, 9 Pm 3.56-3.69
Pm2 0.4622 0.8002 0.6062  3 Ho 3.52-3.53, 9 Pm 3.56-3.69
Pm3 0.1314 0.4622 0.6062  3 Ho 3.52-3.53, 9 Pm 3.56-3.69
Pm4 0.8002 0.1314 0.6062  3 Ho 3.52-3.53, 9 Pm 3.56-3.69
Pm5 0.5378 0.1998 0.3938  3 Ho 3.52-3.53, 9 Pm 3.56-3.69
Pm6 0.8686 0.5378 0.3938  3 Ho 3.52-3.53, 9 Pm 3.56-3.69
Tb1 0.3333 0.3333 0.0000  6 Ho 3.48-3.49, 3 Tb 3.58
Tb2 0.6667 0.6667 0.0000  6 Ho 3.48-3.49, 3 Tb 3.58

Computed properties:
Crystal system: trigonal
Volume, Å³/cell: 479.8
M_tot, μB per formula unit: 0.0
ΔE_f, eV per atom: 0.162
SG: R-3, No. 148
Polymorph energy (0 for the lowest one), meV/atom: 144


A plane-wave DFT calculation with PBE-GGA was carried out for Sm3Dy3Ga4 after structural relaxation.

Unit cell a=4.4434 b=7.6766 c=7.6766 alpha=89.51 beta=90.00 gamma=90.00
Closest atoms and distances in Å follow each position.
Fractional positions:
Dy1 0.5000 0.1754 0.8246  6 Ga 3.12-3.18
Dy2 0.0000 0.4993 0.0002  4 Ga 3.04-3.08
Dy3 0.0000 0.9998 0.5007  4 Ga 3.04-3.08
Sm1 0.5000 0.3249 0.3261  6 Ga 3.17-3.21
Sm2 0.5000 0.6739 0.6751  6 Ga 3.17-3.21
Sm3 0.5000 0.8270 0.1730  6 Ga 3.16-3.19
Ga1 0.0000 0.1204 0.1168  1 Ga 2.59
Ga2 0.0000 0.8832 0.8796  1 Ga 2.59
Ga3 0.0000 0.3775 0.6225  1 Ga 2.61
Ga4 0.0000 0.6187 0.3813  1 Ga 2.61

Computed properties:
Crystal system: orthorhombic
Volume, Å³/cell: 261.8
M_tot, μB per formula unit: 0.0
ΔE_f, eV per atom: -0.514
SG: Amm2, No. 38


A plane-wave DFT calculation with PBE-GGA was carried out for BaZnCl after structural relaxation.

Unit cell a=7.4958 b=7.4954 c=4.1209 alpha=74.05 beta=74.04 gamma=31.91
Closest atoms and distances in Å follow each position.
Fractional positions:
Cl1 0.6132 0.6132 0.3868  4 Ba 3.19, 1 Zn 3.39
Ba1 0.0194 0.0194 0.9806  4 Cl 3.19
Zn1 0.3674 0.3674 0.6326  1 Cl 3.39, 4 Ba 3.59

Computed properties:
Crystal system: tetragonal
Volume, Å³/cell: 117.3
M_tot, μB per formula unit: 0.0
Formation energy without anion corrections, eV per atom: -0.91
SG: I4mm, No. 107
Polymorph energy (0 for the lowest one), meV/atom: 37